(1)
# PBEsol BaTa3Co, relaxed
data_BaTa3Co
_chemical_formula_sum 'Ba1 Ta3 Co1'
_cell_length_a 4.954
_cell_length_b 4.954
_cell_length_c 4.954
_cell_angle_alpha 90.00
_cell_angle_beta 90.00
_cell_angle_gamma 90.00
_space_group_name_H-M_alt 'P m -3 m'
_space_group_IT_number 221
_space_group_name_Hall '-P 4 2 3'
loop_
_atom_site_label
_atom_site_type_symbol
_atom_site_fract_x
_atom_site_fract_y
_atom_site_fract_z
Ba1 Ba 0.000 0.000 0.000
Ta1 Ta 0.000 0.000 0.500
Co1 Co 0.500 0.500 0.500
# DFT formation energy, eV/atom: 3.3897
# Magnetic moment, μB/cell: 1.98

=====

(2)
# PBEsol Fe2CoAg, relaxed
data_Fe2CoAg
_chemical_formula_sum 'Fe4 Co2 Ag2'
_cell_length_a 5.172
_cell_length_b 7.335
_cell_length_c 2.617
_cell_angle_alpha 90.00
_cell_angle_beta 90.00
_cell_angle_gamma 90.00
_space_group_name_H-M_alt 'C m m m'
_space_group_IT_number 65
_space_group_name_Hall '-C 2 2'
loop_
_atom_site_label
_atom_site_type_symbol
_atom_site_fract_x
_atom_site_fract_y
_atom_site_fract_z
Fe1 Fe 0.250 0.250 0.000
Co1 Co 0.000 0.000 0.500
Ag1 Ag 0.000 0.500 0.500
# DFT formation energy, eV/atom: 0.3413
# Energy above the most stable polymorph in this dataset, meV/atom: 2
# Magnetic moment, μB/cell: 13.65

=====

(3)
# PBEsol NbCrO4, relaxed
data_NbCrO4
_chemical_formula_sum 'Nb4 Cr4 O16'
_cell_length_a 12.353
_cell_length_b 3.863
_cell_length_c 6.583
_cell_angle_alpha 90.00
_cell_angle_beta 107.76
_cell_angle_gamma 90.00
_space_group_name_H-M_alt 'C 1 2/m 1'
_space_group_IT_number 12
loop_
_space_group_symop_operation_xyz
'x,y,z'
'-x,-y,-z'
'-x,y,-z'
'x,-y,z'
'x+1/2,y+1/2,z'
'-x+1/2,-y+1/2,-z'
'-x+1/2,y+1/2,-z'
'x+1/2,-y+1/2,z'
loop_
_atom_site_label
_atom_site_type_symbol
_atom_site_fract_x
_atom_site_fract_y
_atom_site_fract_z
Nb1 Nb 0.105 0.000 0.231
Cr1 Cr 0.203 0.000 0.820
O1 O 0.056 0.000 0.863
O2 O 0.139 0.500 0.199
O3 O 0.143 0.000 0.520
O4 O 0.239 0.500 0.859
# Formation energy (no corrections), eV/atom: -2.29
# Magnetic moment, μB/cell: 12.00

=====

(4)
# PBEsol KAl2Ir, relaxed
data_KAl2Ir
_chemical_formula_sum 'K1 Al2 Ir1'
_cell_length_a 5.322
_cell_length_b 2.695
_cell_length_c 5.542
_cell_angle_alpha 90.00
_cell_angle_beta 112.85
_cell_angle_gamma 90.00
_space_group_name_H-M_alt 'P 1 2/m 1'
_space_group_IT_number 10
loop_
_space_group_symop_operation_xyz
'x,y,z'
'-x,-y,-z'
'-x,y,-z'
'x,-y,z'
loop_
_atom_site_label
_atom_site_type_symbol
_atom_site_fract_x
_atom_site_fract_y
_atom_site_fract_z
K1 K 0.000 0.000 0.000
Al1 Al 0.500 0.000 0.500
Al2 Al 0.500 0.500 0.000
Ir1 Ir 0.000 0.500 0.500
# DFT formation energy, eV/atom: 0.5962
# Energy above the most stable polymorph in this dataset, meV/atom: 678
# Magnetic moment, μB/cell: 0.15

=====

(5)
# PBEsol Li4YCr, relaxed
data_Li4YCr
_chemical_formula_sum 'Li16 Y4 Cr4'
_cell_length_a 7.689
_cell_length_b 7.689
_cell_length_c 7.689
_cell_angle_alpha 90.00
_cell_angle_beta 90.00
_cell_angle_gamma 90.00
_space_group_name_H-M_alt 'F -4 3 m'
_space_group_IT_number 216
_space_group_name_Hall 'F -4 2 3'
loop_
_atom_site_label
_atom_site_type_symbol
_atom_site_fract_x
_atom_site_fract_y
_atom_site_fract_z
Li1 Li 0.122 0.122 0.122
Y1 Y 0.000 0.000 0.500
Cr1 Cr 0.250 0.250 0.750
# DFT formation energy, eV/atom: 0.3250
# Magnetic moment, μB/cell: 20.30

=====

(6)
# PBEsol CaMgPb, relaxed
data_CaMgPb
_chemical_formula_sum 'Ca4 Mg4 Pb4'
_cell_length_a 7.144
_cell_length_b 7.144
_cell_length_c 7.144
_cell_angle_alpha 90.00
_cell_angle_beta 90.00
_cell_angle_gamma 90.00
_space_group_name_H-M_alt 'F -4 3 m'
_space_group_IT_number 216
_space_group_name_Hall 'F -4 2 3'
loop_
_atom_site_label
_atom_site_type_symbol
_atom_site_fract_x
_atom_site_fract_y
_atom_site_fract_z
Ca1 Ca 0.000 0.000 0.000
Mg1 Mg 0.000 0.000 0.500
Pb1 Pb 0.250 0.250 0.750
# DFT formation energy, eV/atom: -0.3828
# Magnetic moment, μB/cell: 0.00

=====

(7)
# PBEsol Ca5Nb4Co2O18, relaxed
data_Ca5Nb4Co2O18
_chemical_formula_sum 'Ca10 Nb8 Co4 O36'
_cell_length_a 9.365
_cell_length_b 5.354
_cell_length_c 16.319
_cell_angle_alpha 90.00
_cell_angle_beta 124.62
_cell_angle_gamma 90.00
_space_group_name_H-M_alt 'P 1 c 1'
_space_group_IT_number 7
loop_
_space_group_symop_operation_xyz
'x,y,z'
'x,-y,z+1/2'
loop_
_atom_site_label
_atom_site_type_symbol
_atom_site_fract_x
_atom_site_fract_y
_atom_site_fract_z
Ca1 Ca 0.000 0.234 0.000
Ca2 Ca 0.108 0.257 0.801
Ca3 Ca 0.327 0.246 0.661
Ca4 Ca 0.444 0.258 0.474
Ca5 Ca 0.769 0.263 0.135
Nb1 Nb 0.047 0.259 0.406
Nb2 Nb 0.221 0.247 0.231
Nb3 Nb 0.571 0.250 0.908
Nb4 Nb 0.709 0.240 0.727
Co1 Co 0.384 0.247 0.065
Co2 Co 0.887 0.252 0.569
O1 O 0.011 0.464 0.149
O2 O 0.089 0.052 0.650
O3 O 0.154 0.171 0.326
O4 O 0.209 0.452 0.960
O5 O 0.236 0.037 0.513
O6 O 0.289 0.320 0.139
O7 O 0.346 0.460 0.818
O8 O 0.422 0.030 0.316
O9 O 0.476 0.176 0.989
O10 O 0.535 0.471 0.622
O11 O 0.556 0.037 0.165
O12 O 0.626 0.325 0.811
O13 O 0.689 0.459 0.494
O14 O 0.768 0.037 0.994
O15 O 0.818 0.173 0.654
O16 O 0.882 0.458 0.287
O17 O 0.911 0.059 0.845
O18 O 0.963 0.323 0.486
# Formation energy (no corrections), eV/atom: -2.53
# Magnetic moment, μB/cell: 0.02

=====

(8)
# PBEsol La2HgOs, relaxed
data_La2HgOs
_chemical_formula_sum 'La6 Hg3 Os3'
_cell_length_a 4.1551
_cell_length_b 4.1551
_cell_length_c 22.9476
_cell_angle_alpha 90.00
_cell_angle_beta 90.00
_cell_angle_gamma 120.00
_space_group_name_H-M_alt 'R -3 m'
_space_group_IT_number 166
_space_group_name_Hall '-R 3 2"'
loop_
_atom_site_label
_atom_site_type_symbol
_atom_site_fract_x
_atom_site_fract_y
_atom_site_fract_z
La1 La 0.0000 0.0000 0.2318
Hg1 Hg 0.0000 0.0000 0.0000
Os1 Os 0.0000 0.0000 0.5000
# DFT formation energy, eV/atom: -0.1545
# Magnetic moment, μB/cell: 0.00